# 1
Density functional theory data (PBEsol) for crystalline Zr2CuIr at its relaxed geometry.

Values from the calculation:
Energy relative to the elements in eV/atom: -0.5344
N(E_F) in states/eV/atom: 0.77
Final energy in eV per cell: -34.47
Calculated volume in Å³ per atom: 17.68

Cell: 3.3640 4.1752 5.3118 Å, 90.00 108.60 90.00°
With the nearest neighbours (Å) after each atom.
Space group Pm (No. 6)
Asymmetric unit:
Zr1 0.0000 0.0000 0.0000  4 Cu 2.74, 3 Ir 2.78-2.81
Zr2 0.2825 0.5000 0.5628  4 Ir 2.74, 3 Cu 2.75-2.84
Cu1 0.5554 0.5000 0.1100  2 Ir 2.69, 7 Zr 2.74-2.84
Ir1 0.7241 0.0000 0.4470  2 Cu 2.69, 7 Zr 2.74-2.81

=====

# 2
Density functional theory data (PBEsol) for crystalline KLaCu at its relaxed geometry.

Values from the calculation:
Energy relative to the elements in eV/atom: 0.5470
N(E_F) in states/eV/atom: 1.43
Final energy in eV per cell: -36.69
Calculated volume in Å³ per atom: 31.28

Cell: 7.2133 7.2133 7.2133 Å, 90.00 90.00 90.00°
With the nearest neighbours (Å) after each atom.
Space group F-43m (No. 216)
Asymmetric unit:
K1 0.0000 0.0000 0.0000  4 Cu 3.12
La1 0.0000 0.0000 0.5000  4 Cu 3.12
Cu1 0.2500 0.2500 0.7500  4 La 3.12, 4 K 3.12

=====

# 3
Density functional theory data (PBEsol) for crystalline KLa2Cu at its relaxed geometry.

Values from the calculation:
Energy relative to the elements in eV/atom: 0.5695
N(E_F) in states/eV/atom: 1.09
Final energy in eV per cell: -27.76
Calculated volume in Å³ per atom: 29.23

Cell: 4.5684 4.5684 11.2056 Å, 90.00 90.00 90.00°
With the nearest neighbours (Å) after each atom.
Space group I-4m2 (No. 119)
Asymmetric unit:
K1 0.0000 0.0000 0.0000  8 La 3.23-3.61, 4 Cu 3.61
La1 0.0000 0.0000 0.5000  4 K 3.23, 4 La 3.61, 4 Cu 3.61
La2 0.0000 0.5000 0.2500  4 Cu 3.23, 4 La 3.61, 4 K 3.61
Cu1 0.0000 0.5000 0.7500  8 La 3.23-3.61, 4 K 3.61

=====

# 4
Density functional theory data (PBEsol) for crystalline KLa2ScCu at its relaxed geometry.

Values from the calculation:
Energy relative to the elements in eV/atom: 0.6986
N(E_F) in states/eV/atom: 1.29
Final energy in eV per cell: -19.27
Calculated volume in Å³ per atom: 32.92

Cell: 5.8084 5.8084 4.8791 Å, 90.00 90.00 90.00°
With the nearest neighbours (Å) after each atom.
Space group P4/mmm (No. 123)
Asymmetric unit:
K1 0.0000 0.0000 0.0000  8 La 3.79, 4 Cu 4.11
La1 0.0000 0.5000 0.5000  2 Sc 2.90
Sc1 0.5000 0.5000 0.5000  2 Cu 2.44
Cu1 0.5000 0.5000 0.0000  2 Sc 2.44

=====

# 5
Density functional theory data (PBEsol) for crystalline KLaCuTe4 at its relaxed geometry.

Values from the calculation:
N(E_F) in states/eV/atom: 0.41
Final energy in eV per cell: -62.31
Calculated volume in Å³ per atom: 29.37

Cell: 4.3965 4.3965 21.2696 Å, 90.00 90.00 90.00°
With the nearest neighbours (Å) after each atom.
Space group P4/nmm (No. 129, origin choice 2)
Asymmetric unit:
K1 0.2500 0.2500 0.1412  8 Te 3.47-3.71, 4 Cu 3.72
La1 0.2500 0.2500 0.5988  9 Te 3.23-3.36
Cu1 0.2500 0.7500 0.0000  4 Te 2.64
Te1 0.2500 0.2500 0.4431  5 La 3.23-3.31
Te2 0.2500 0.2500 0.9310  4 Cu 2.64
Te3 0.2500 0.7500 0.2817  4 Te 3.11, 2 La 3.36

=====

# 6
Density functional theory data (PBEsol) for crystalline KLi3Cu at its relaxed geometry.

Values from the calculation:
Energy relative to the elements in eV/atom: 0.2042
N(E_F) in states/eV/atom: 0.53
Final energy in eV per cell: -10.35
Calculated volume in Å³ per atom: 25.57

Cell: 5.0376 5.0376 5.0376 Å, 90.00 90.00 90.00°
With the nearest neighbours (Å) after each atom.
Space group Pm-3m (No. 221)
Asymmetric unit:
K1 0.0000 0.0000 0.0000  12 Li 3.56
Li1 0.0000 0.5000 0.5000  2 Cu 2.52
Cu1 0.5000 0.5000 0.5000  6 Li 2.52

=====

# 7
Density functional theory data (PBEsol) for crystalline KMgCu2 at its relaxed geometry.

Values from the calculation:
Energy relative to the elements in eV/atom: 0.5535
N(E_F) in states/eV/atom: 0.35
Final energy in eV per cell: -37.22
Calculated volume in Å³ per atom: 20.25

Cell: 6.8684 6.8684 6.8684 Å, 90.00 90.00 90.00°
With the nearest neighbours (Å) after each atom.
Space group Fm-3m (No. 225)
Asymmetric unit:
K1 0.0000 0.0000 0.0000  8 Cu 2.97
Mg1 0.0000 0.0000 0.5000  8 Cu 2.97
Cu1 0.2500 0.2500 0.2500  4 K 2.97, 4 Mg 2.97

=====

# 8
Density functional theory data (PBEsol) for crystalline KMg2Cu at its relaxed geometry.

Values from the calculation:
Energy relative to the elements in eV/atom: 0.2150
N(E_F) in states/eV/atom: 0.52
Energy above the lowest structure with this stoichiometry in meV per atom: 0
Final energy in eV per cell: -16.08
Calculated volume in Å³ per atom: 26.99

Cell: 3.1211 4.2551 16.2599 Å, 90.00 90.00 90.00°
With the nearest neighbours (Å) after each atom.
Space group Imm2 (No. 44)
Asymmetric unit:
K1 0.0000 0.0000 0.0000  2 K 3.12, 2 Cu 3.47
Mg1 0.0000 0.0000 0.6753  2 Cu 2.68
Mg2 0.0000 0.5000 0.8176  4 Cu 2.64
Cu1 0.0000 0.5000 0.3092  6 Mg 2.64-2.68